Entry 1:
A geometry-optimized Ho12Tm7Sc structure, computed with PBE.

Computed properties:
Uncorrected energy in eV/atom: -4.4424
Offset from the most stable computed form in eV per atom: 0.000

```
data_Ho12Tm7Sc
_chemical_formula_sum 'Ho36 Tm21 Sc3'
_cell_length_a 14.7767
_cell_length_b 14.7767
_cell_length_c 9.8643
_cell_angle_alpha 90.00
_cell_angle_beta 90.00
_cell_angle_gamma 120.00
_space_group_name_H-M_alt 'R -3'
_space_group_IT_number 148
_space_group_name_Hall '-R 3'
loop_
_atom_site_label
_atom_site_fract_x
_atom_site_fract_y
_atom_site_fract_z
_atom_site_occupancy
Ho1 0.0397 0.2517 0.0742 1
Ho2 0.0468 0.1965 0.7539 1
Tm1 0.0000 0.0000 0.0000 1
Tm2 0.0702 0.2418 0.4274 1
Sc1 0.0000 0.0000 0.5000 1
```

Entry 2:
A geometry-optimized Ho12Tm2Sc structure, computed with PBE.

Computed properties:
Uncorrected energy in eV/atom: -4.2820

```
data_Ho12Tm2Sc
_chemical_formula_sum 'Ho24 Tm4 Sc2'
_cell_length_a 6.3951
_cell_length_b 6.3951
_cell_length_c 24.0998
_cell_angle_alpha 90.00
_cell_angle_beta 90.00
_cell_angle_gamma 90.00
_space_group_name_H-M_alt 'P 4/n b m'
_space_group_IT_number 125
loop_
_space_group_symop_operation_xyz
'x,y,z'
'-x,-y,-z'
'-y+1/2,x,z'
'y+1/2,-x,-z'
'-x+1/2,-y+1/2,z'
'x+1/2,y+1/2,-z'
'y,-x+1/2,z'
'-y,x+1/2,-z'
'x,-y+1/2,-z'
'-x,y+1/2,z'
'-y+1/2,-x+1/2,-z'
'y+1/2,x+1/2,z'
'-x+1/2,y,-z'
'x+1/2,-y,z'
'y,x,-z'
'-y,-x,z'
loop_
_atom_site_label
_atom_site_fract_x
_atom_site_fract_y
_atom_site_fract_z
_atom_site_occupancy
Ho1 0.0001 0.9999 0.1045 1
Ho2 0.0812 0.5812 0.4373 1
Ho3 0.2500 0.2500 0.2087 1
Ho4 0.2500 0.2500 0.3355 1
Tm1 0.2500 0.7500 0.2673 1
Sc1 0.2500 0.7500 0.0000 1
```

Entry 3:
A geometry-optimized Ho8Tm3Sc2 structure, computed with PBE.

Computed properties:
Uncorrected energy in eV/atom: -4.5875
Offset from the most stable computed form in eV per atom: 0.005

```
data_Ho8Tm3Sc2
_chemical_formula_sum 'Ho16 Tm6 Sc4'
_cell_length_a 7.5756
_cell_length_b 19.3576
_cell_length_c 5.5186
_cell_angle_alpha 90.00
_cell_angle_beta 90.00
_cell_angle_gamma 90.00
_space_group_name_H-M_alt 'C m m m'
_space_group_IT_number 65
_space_group_name_Hall '-C 2 2'
loop_
_atom_site_label
_atom_site_fract_x
_atom_site_fract_y
_atom_site_fract_z
_atom_site_occupancy
Ho1 0.0000 0.1345 0.0000 1
Ho2 0.0000 0.3253 0.0000 1
Ho3 0.2101 0.3885 0.5000 1
Tm1 0.0000 0.0000 0.5000 1
Tm2 0.2150 0.5000 0.0000 1
Sc1 0.0000 0.2409 0.5000 1
```